[1]
Ti2BI | PBE | optimized geometry

POSCAR file:
```
Ti2BI
1.0
4.156 1.569 0.645
0.752 3.155 3.104
2.232 -1.033 3.756
I Ti B
1 2 1
direct
0.500 0.500 0.500
0.750 0.750 0.750
0.250 0.250 0.250
0.000 0.000 0.000
```

Computed properties:
As for the energy: -0.200 hartree per atom. Its uncorrected formation energy is 2.30 eV per formula unit. For the energy above the most stable polymorph in this dataset, the calculation gives 1.46 eV per formula unit. The crystal system is cubic.

---

[2]
TiB2I | PBE | optimized geometry

POSCAR file:
```
TiB2I
1.0
0.000 3.063 3.063
3.063 0.000 3.063
3.063 3.063 0.000
B I Ti
2 1 1
direct
0.250 0.250 0.250
0.750 0.750 0.750
0.500 0.500 0.500
0.000 0.000 0.000
```

Computed properties:
As for the energy: -0.147 hartree per atom. Its uncorrected formation energy is 6.80 eV per formula unit. For the energy above the most stable polymorph in this dataset, the calculation gives 1.82 eV per formula unit. The crystal system is cubic.

---

[3]
TlB2I | PBE | optimized geometry

POSCAR file:
```
TlB2I
1.0
-2.092 -3.899 3.343
4.409 -3.215 -0.991
3.782 -1.283 5.470
B Tl I
4 2 2
direct
0.641 0.125 0.250
0.375 0.359 0.750
0.109 0.625 0.250
0.875 0.891 0.750
0.750 0.250 0.500
0.000 0.000 0.000
0.500 0.500 0.000
0.250 0.750 0.500
```

Computed properties:
As for the energy: -0.106 hartree per atom. Its uncorrected formation energy is 5.68 eV per formula unit. For the energy above the most stable polymorph in this dataset, the calculation gives 0.00 eV per formula unit. The crystal system is tetragonal.

---

Q: The highest uncorrected formation energy belongs to which entry?
A: TiB2I